Entry 1:
Here is LiCdSb after structural relaxation from the Open Quantum Materials Database. Energies are from PBE-GGA.

## Properties
SG: Pnma
E in eV/atom: -2.614

abc: 7.3601 4.5227 8.4567
angles: 90.00 90.00 90.00
With the nearest neighbours (Å) after each atom.
Fractional coordinates of all 12 atoms:
Li 0.0369 0.2500 0.1732  3 Sb 2.84-3.05
Li 0.4631 0.7500 0.6732  3 Sb 2.84-3.05
Li 0.5369 0.2500 0.3268  3 Sb 2.84-3.05
Li 0.9631 0.7500 0.8268  3 Sb 2.84-3.05
Cd 0.1361 0.2500 0.5591  4 Sb 2.84-3.00
Cd 0.3639 0.7500 0.0591  4 Sb 2.84-3.00
Cd 0.6361 0.2500 0.9409  4 Sb 2.84-3.00
Cd 0.8639 0.7500 0.4409  4 Sb 2.84-3.00
Sb 0.2337 0.2500 0.8838  4 Cd 2.84-3.00, 3 Li 2.84-3.05
Sb 0.2663 0.7500 0.3838  4 Cd 2.84-3.00, 3 Li 2.84-3.05
Sb 0.7337 0.2500 0.6162  4 Cd 2.84-3.00, 3 Li 2.84-3.05
Sb 0.7663 0.7500 0.1162  4 Cd 2.84-3.00, 3 Li 2.84-3.05

---

Entry 2:
Here is LiScCd after structural relaxation from the Open Quantum Materials Database. Energies are from PBE-GGA.

## Properties
SG: F-43m
ΔE to the lowest computed polymorph in eV/f.u.: 0.00
Size of the total moment in μB/f.u.: 0.576

abc: 4.6602 4.6602 4.6602
angles: 60.00 60.00 60.00
With the nearest neighbours (Å) after each atom.
Fractional coordinates of all 3 atoms:
Li 0.0000 0.0000 0.0000  4 Cd 2.85
Sc 0.5000 0.5000 0.5000  4 Cd 2.85
Cd 0.2500 0.2500 0.2500  4 Sc 2.85, 4 Li 2.85

---

Entry 3:
Here is LiScCdSe3 after structural relaxation from the Open Quantum Materials Database. Energies are from PBE-GGA.

## Properties
SG: Cmcm
E in eV/atom: -4.339
Size of the total moment in μB/f.u.: 0.003

abc: 6.8433 6.8433 10.8677
angles: 90.00 90.00 146.73
With the nearest neighbours (Å) after each atom.
Fractional coordinates of all 12 atoms:
Li 0.2398 0.7602 0.7500  2 Se 2.79
Li 0.7602 0.2398 0.2500  2 Se 2.79
Sc 0.0000 0.0000 0.0000  4 Se 2.73
Sc 0.0000 0.0000 0.5000  4 Se 2.73
Cd 0.4757 0.5243 0.2500  4 Se 2.58-2.62
Cd 0.5243 0.4757 0.7500  4 Se 2.58-2.62
Se 0.1086 0.8914 0.2500  2 Cd 2.62, 2 Li 2.79
Se 0.3623 0.6377 0.0555  1 Cd 2.58, 2 Sc 2.73
Se 0.3623 0.6377 0.4445  1 Cd 2.58, 2 Sc 2.73
Se 0.6377 0.3623 0.5555  1 Cd 2.58, 2 Sc 2.73
Se 0.6377 0.3623 0.9445  1 Cd 2.58, 2 Sc 2.73
Se 0.8914 0.1086 0.7500  2 Cd 2.62, 2 Li 2.79